Compound: PmUBi2
Source: Alexandria via LeMat-Bulk
Functional: PBE-GGA
Structure: optimized geometry

Calculated formation energy in eV/atom: 0.129

```
PmUBi2
1.0
-1.1556 3.1310 0.7428
-3.0093 1.0499 -1.2379
-6.9843 -3.0124 9.7016
Pm U Bi
1 1 2
direct
0.5000 0.5000 0.5000
0.0000 0.0000 0.0000
0.0898 0.0898 0.7307
0.9102 0.9102 0.2693
```

Compound: PmUBi2
Source: Alexandria via LeMat-Bulk
Functional: PBE-GGA
Structure: optimized geometry

Calculated formation energy in eV/atom: -0.231

```
PmUBi2
1.0
-4.6061 -2.0524 2.2303
-3.8575 -2.2579 -3.2286
-0.8271 -5.4507 0.0918
Pm Bi U
1 2 1
direct
0.0000 0.0000 0.0000
0.2500 0.2500 0.2500
0.7500 0.7500 0.7500
0.5000 0.5000 0.5000
```

Compound: PmUBi
Source: Alexandria via LeMat-Bulk
Functional: PBE-GGA
Structure: optimized geometry

Calculated formation energy in eV/atom: 0.112

```
PmUBi
1.0
-0.1480 -1.7650 -3.0467
2.8179 -1.7808 -1.1435
-4.5711 -15.2133 6.9971
Bi Pm U
2 2 2
direct
0.7042 0.7042 0.8873
0.2958 0.2958 0.1127
0.5745 0.5745 0.2766
0.4255 0.4255 0.7234
0.1518 0.1518 0.5445
0.8482 0.8482 0.4555
```

no.,E (eV for the cell shown)
1,-23.28
2,-24.72
3,-39.17